Record 1
Hf2TiAl, relaxed, DFT GGA-PBE; total DFT energy (no corrections) = -32.451 eV per cell; calculated density = 9.379 Mg/m³; energy of formation from the pure elements = -0.227 eV/atom
1.0
4.276 0.000 0.000
0.000 4.276 0.000
0.000 0.000 4.181
Hf Ti Al
2 1 1
direct
0.000 0.500 0.000
0.500 0.000 0.000
0.000 0.000 0.500
0.500 0.500 0.500



Record 2
Hf3TiAl, relaxed, DFT GGA-PBE; total DFT energy (no corrections) = -36.854 eV per cell; calculated density = 8.347 Mg/m³; energy of formation from the pure elements = 0.929 eV/atom
1.0
4.952 0.000 0.000
0.000 4.952 0.000
0.000 0.000 4.952
Hf Ti Al
3 1 1
direct
0.000 0.000 0.500
0.000 0.500 0.000
0.500 0.000 0.000
0.500 0.500 0.500
0.000 0.000 0.000



Record 3
Hf2Ti2Al, relaxed, DFT GGA-PBE; total DFT energy (no corrections) = -79.548 eV per cell; calculated density = 8.271 Mg/m³; energy of formation from the pure elements = -0.067 eV/atom
1.0
7.021 0.000 0.000
0.000 7.021 0.000
0.000 0.000 3.908
Hf Ti Al
4 4 2
direct
0.164 0.336 0.000
0.336 0.836 0.000
0.664 0.164 0.000
0.836 0.664 0.000
0.136 0.636 0.500
0.364 0.136 0.500
0.636 0.864 0.500
0.864 0.364 0.500
0.000 0.000 0.500
0.500 0.500 0.500



Record 4
HfTi4Al6, relaxed, DFT GGA-PBE; total DFT energy (no corrections) = -60.962 eV per cell; calculated density = 3.911 Mg/m³; energy of formation from the pure elements = 0.275 eV/atom
1.0
-3.446 3.446 4.753
3.446 -3.446 4.753
3.446 3.446 -4.753
Hf Ti Al
1 4 6
direct
0.000 0.000 0.000
0.277 0.596 0.000
0.404 0.404 0.681
0.596 0.277 0.000
0.723 0.723 0.319
0.000 0.500 0.500
0.105 0.105 0.652
0.453 0.453 0.348
0.500 0.000 0.500
0.547 0.895 0.000
0.895 0.547 0.000



Q: Among the records above, which one has the lowest total DFT energy (no corrections)?
A: Hf2Ti2Al



Q: Among the records above, which one has the highest total DFT energy (no corrections)?
A: Hf2TiAl



Q: Number 2 is which compound?
A: Hf3TiAl



Q: Look up the calculated density of the second one.
A: 8.347 Mg/m³